[1]
Here is a relaxed LiFeSe4 crystal from the Alexandria database. Energies are from PBE.

abc: 5.705 5.705 5.705
angles: 60.00 60.00 60.00
Fractional positions:
Li1 0.000 0.000 0.000
Fe1 0.250 0.250 0.250
Se1 0.126 0.625 0.625
Se2 0.625 0.126 0.625
Se3 0.625 0.625 0.126
Se4 0.625 0.625 0.625

Properties
Total magnetic moment in μB per cell: 3.6
ΔE_f (raw) in kJ/mol of formula units: 316

=====

[2]
Here is a relaxed Tc2Ir4Rh crystal from the Alexandria database. Energies are from PBE.

abc: 7.563 7.110 6.346
angles: 68.12 60.74 51.14
Fractional positions:
Tc1 0.156 0.156 0.844
Tc2 0.362 0.638 0.362
Tc3 0.638 0.362 0.638
Tc4 0.844 0.844 0.156
Ir1 0.027 0.973 0.697
Ir2 0.182 0.506 0.818
Ir3 0.303 0.697 0.973
Ir4 0.494 0.818 0.506
Ir5 0.506 0.182 0.494
Ir6 0.697 0.303 0.027
Ir7 0.818 0.494 0.182
Ir8 0.973 0.027 0.303
Rh1 0.250 0.250 0.250
Rh2 0.750 0.750 0.750

Properties
Total magnetic moment in μB per cell: 0.0
Energy of formation in eV per formula unit: 2.13

=====

[3]
Here is a relaxed Pm2TmSi2 crystal from the Alexandria database. Energies are from PBE.

abc: 7.528 7.528 4.360
angles: 90.00 90.00 90.00
Fractional positions:
Pm1 0.177 0.323 0.000
Pm2 0.323 0.823 0.000
Pm3 0.677 0.177 0.000
Pm4 0.823 0.677 0.000
Tm1 0.000 0.000 0.500
Tm2 0.500 0.500 0.500
Si1 0.116 0.616 0.500
Si2 0.384 0.116 0.500
Si3 0.616 0.884 0.500
Si4 0.884 0.384 0.500

Properties
Total magnetic moment in μB per cell: 0.0
ΔE_f (raw) in kJ/mol of formula units: -342